No. 1
Cu2TcI | PBE | relaxed

```
Cu2TcI
1.0
2.236 -1.103 3.907
1.384 3.340 2.900
-2.098 0.526 4.099
Cu Tc I
2 1 1
Cartesian
0.380 0.691 2.726
1.141 2.072 8.179
0.000 0.000 0.000
0.761 1.381 5.453
```

Results
Calculated total energy = -0.2878 Ry/atom
Crystal system = cubic
Formation energy from raw total energies = 1.1114 eV/atom
Fermi-level density of states = 4.6 states/eV/f.u.
Relative energy among the computed polymorphs = 916 meV per atom

***

No. 2
NaInN3 | PBE | relaxed

```
NaInN3
1.0
-4.140 0.190 -0.655
-0.678 -1.606 3.816
-0.078 3.871 1.616
N Na In
3 1 1
Cartesian
-2.070 0.095 -0.328
-0.039 1.936 0.808
-0.339 -0.803 1.908
0.000 0.000 0.000
-2.448 1.228 2.388
```

Results
Calculated total energy = -0.2498 Ry/atom
Crystal system = cubic
Formation energy from raw total energies = 2.4081 eV/atom
Fermi-level density of states = 2.2 states/eV/f.u.